Entry from Alexandria: a geometry-optimized TbDyTlSe structure (PBE-GGA).

Cell and atoms, written as POSCAR:
```
TbDyTlSe
1.0
3.373 -1.949 0.000
3.373 1.949 0.000
-2.239 0.000 8.287
Tb Dy Tl Se
1 1 1 1
direct
0.000 0.000 0.000
0.807 0.807 0.422
0.570 0.570 0.711
0.403 0.403 0.210
```

Summary:
D(E_F): 3.06 states/eV/f.u.
total moment: 0.00 μB per formula unit
total energy: -4.78 eV per atom
E_form (uncorrected): -97 kJ/mol of atoms